TbGe2Ir4: relaxed, PBE-GGA.

Properties
Polymorph energy (0 for the lowest one) ... 106 meV per atom
Volume ... 16.9 Å³ per atom
Space-group type ... No. 65
Total moment ... 0.00 μB per cell
Formation enthalpy at 0 K ... -0.43 eV/atom

abc: 4.067 4.115 7.358
angles: 106.24 90.00 90.00
Fractional coordinates of all 7 atoms:
Tb  0.000  0.000  0.000
Ge  0.500  0.587  0.174
Ge  0.500  0.413  0.826
Ir  0.500  0.820  0.640
Ir  0.000  0.683  0.367
Ir  0.500  0.180  0.360
Ir  0.000  0.317  0.633



TbGe2Ir4: relaxed, PBE-GGA.

Properties
Polymorph energy (0 for the lowest one) ... 0 meV per atom
Volume ... 16.8 Å³ per atom
Space-group type ... No. 136
Total moment ... 0.00 μB per cell
Formation enthalpy at 0 K ... -0.54 eV/atom

abc: 3.941 7.732 7.732
angles: 90.00 90.00 90.00
Fractional coordinates of all 14 atoms:
Ge  0.000  0.226  0.774
Ge  0.000  0.774  0.226
Ge  0.500  0.726  0.726
Ge  0.500  0.274  0.274
Ir  0.000  0.077  0.340
Ir  0.000  0.923  0.660
Ir  0.500  0.160  0.577
Ir  0.500  0.840  0.423
Ir  0.500  0.423  0.840
Ir  0.500  0.577  0.160
Ir  0.000  0.340  0.077
Ir  0.000  0.660  0.923
Tb  0.500  0.000  0.000
Tb  0.000  0.500  0.500



TbGe6Ir5: relaxed, PBE-GGA.

Properties
Volume ... 16.9 Å³ per atom
Space-group type ... No. 12
Total moment ... 0.00 μB per cell
Formation enthalpy at 0 K ... -0.28 eV/atom

abc: 7.095 5.529 6.142
angles: 63.25 81.37 70.54
Fractional coordinates of all 12 atoms:
Tb  0.000  0.000  0.000
Ge  0.696  0.086  0.393
Ge  0.304  0.520  0.393
Ge  0.212  0.355  0.000
Ge  0.788  0.645  0.000
Ge  0.696  0.480  0.607
Ge  0.304  0.914  0.607
Ir  0.500  0.122  0.756
Ir  0.000  0.306  0.388
Ir  0.500  0.500  0.000
Ir  0.000  0.694  0.612
Ir  0.500  0.878  0.244



Tb3GeIr2: relaxed, PBE-GGA.

Properties
Volume ... 23.1 Å³ per atom
Space-group type ... No. 62
Total moment ... 0.00 μB per cell
Formation enthalpy at 0 K ... -0.76 eV/atom

abc: 3.963 11.928 11.720
angles: 90.00 90.00 90.00
Fractional coordinates of all 24 atoms:
Tb  0.250  0.380  0.052
Tb  0.750  0.620  0.948
Tb  0.750  0.880  0.448
Tb  0.250  0.120  0.552
Tb  0.250  0.683  0.199
Tb  0.750  0.317  0.801
Tb  0.750  0.183  0.301
Tb  0.250  0.817  0.699
Tb  0.250  0.436  0.372
Tb  0.750  0.564  0.628
Tb  0.750  0.936  0.128
Tb  0.250  0.064  0.872
Ge  0.250  0.134  0.122
Ge  0.750  0.866  0.878
Ge  0.750  0.634  0.378
Ge  0.250  0.366  0.622
Ir  0.250  0.691  0.491
Ir  0.750  0.309  0.509
Ir  0.750  0.191  0.009
Ir  0.250  0.809  0.991
Ir  0.250  0.012  0.312
Ir  0.750  0.988  0.688
Ir  0.750  0.512  0.188
Ir  0.250  0.488  0.812



TbGe3Ir5: relaxed, PBE-GGA.

Properties
Volume ... 17.8 Å³ per atom
Space-group type ... No. 63
Total moment ... 0.00 μB per cell
Formation enthalpy at 0 K ... -0.32 eV/atom

abc: 3.937 6.739 12.593
angles: 90.00 90.00 106.98
Fractional coordinates of all 18 atoms:
Tb  0.879  0.758  0.750
Tb  0.121  0.242  0.250
Ge  0.383  0.765  0.955
Ge  0.866  0.733  0.250
Ge  0.383  0.765  0.545
Ge  0.617  0.235  0.455
Ge  0.134  0.267  0.750
Ge  0.617  0.235  0.045
Ir  0.799  0.598  0.430
Ir  0.201  0.402  0.930
Ir  0.000  0.000  0.500
Ir  0.000  0.000  0.000
Ir  0.450  0.900  0.147
Ir  0.550  0.100  0.853
Ir  0.550  0.100  0.647
Ir  0.799  0.598  0.070
Ir  0.201  0.402  0.570
Ir  0.450  0.900  0.353



Tb2Ge4Ir5: relaxed, PBE-GGA.

Properties
Volume ... 18.4 Å³ per atom
Space-group type ... No. 69
Total moment ... 0.00 μB per cell
Formation enthalpy at 0 K ... -0.61 eV/atom

abc: 5.638 5.564 8.008
angles: 79.73 69.39 59.56
Fractional coordinates of all 11 atoms:
Tb  0.880  0.000  0.241
Tb  0.120  0.000  0.759
Ge  0.474  0.314  0.738
Ge  0.526  0.686  0.262
Ge  0.212  0.314  0.262
Ge  0.788  0.686  0.738
Ir  0.500  0.000  0.000
Ir  0.000  0.500  0.000
Ir  0.500  0.500  0.000
Ir  0.250  0.500  0.500
Ir  0.750  0.500  0.500



TbGe3Ir2: relaxed, PBE-GGA.

Properties
Volume ... 18.1 Å³ per atom
Space-group type ... No. 12
Total moment ... 0.00 μB per cell
Formation enthalpy at 0 K ... -0.53 eV/atom

abc: 4.080 7.330 8.749
angles: 120.22 103.49 90.00
Fractional coordinates of all 12 atoms:
Tb  0.126  0.098  0.252
Tb  0.874  0.902  0.748
Ge  0.682  0.463  0.364
Ge  0.044  0.415  0.089
Ge  0.334  0.140  0.669
Ge  0.666  0.860  0.331
Ge  0.956  0.585  0.911
Ge  0.318  0.537  0.636
Ir  0.508  0.195  0.017
Ir  0.492  0.805  0.983
Ir  0.211  0.710  0.423
Ir  0.789  0.290  0.577



Tb4Ge6Ir7: relaxed, PBE-GGA.

Properties
Volume ... 17.6 Å³ per atom
Space-group type ... No. 229
Total moment ... 0.00 μB per cell
Formation enthalpy at 0 K ... -0.86 eV/atom

abc: 7.299 7.299 7.299
angles: 109.47 109.47 109.47
Fractional coordinates of all 17 atoms:
Tb  0.000  0.000  0.500
Tb  0.000  0.500  0.000
Tb  0.500  0.000  0.000
Tb  0.500  0.500  0.500
Ge  0.681  0.681  0.000
Ge  0.319  0.000  0.319
Ge  0.000  0.319  0.319
Ge  0.319  0.319  0.000
Ge  0.681  0.000  0.681
Ge  0.000  0.681  0.681
Ir  0.750  0.250  0.500
Ir  0.750  0.500  0.250
Ir  0.500  0.250  0.750
Ir  0.250  0.500  0.750
Ir  0.250  0.750  0.500
Ir  0.500  0.750  0.250
Ir  0.000  0.000  0.000



Tb2Ge3Ir: relaxed, PBE-GGA.

Properties
Polymorph energy (0 for the lowest one) ... 27 meV per atom
Volume ... 20.3 Å³ per atom
Space-group type ... No. 8
Total moment ... 0.00 μB per cell
Formation enthalpy at 0 K ... -0.75 eV/atom

abc: 4.384 5.672 5.795
angles: 74.72 67.77 67.26
Fractional coordinates of all 6 atoms:
Tb  0.548  0.191  0.713
Tb  0.436  0.812  0.316
Ge  0.869  0.602  0.660
Ge  0.812  0.256  0.120
Ge  0.166  0.755  0.913
Ir  0.169  0.383  0.279



Tb7Ge2Ir2: relaxed, PBE-GGA.

Properties
Volume ... 28.5 Å³ per atom
Space-group type ... No. 65
Total moment ... 0.00 μB per cell
Formation enthalpy at 0 K ... -0.52 eV/atom

abc: 6.754 6.980 6.754
angles: 90.00 100.23 90.00
Fractional coordinates of all 11 atoms:
Tb  0.000  0.252  0.500
Tb  0.500  0.748  0.000
Tb  0.000  0.748  0.500
Tb  0.500  0.252  0.000
Tb  0.000  0.000  0.000
Tb  0.500  0.758  0.500
Tb  0.500  0.242  0.500
Ge  0.777  0.500  0.777
Ge  0.223  0.500  0.223
Ir  0.722  0.000  0.278
Ir  0.278  0.000  0.722



TbGe12Ir4: relaxed, PBE-GGA.

Properties
Volume ... 19.2 Å³ per atom
Space-group type ... No. 204
Total moment ... 0.00 μB per cell
Formation enthalpy at 0 K ... -0.21 eV/atom

abc: 7.516 7.516 7.516
angles: 109.47 109.47 109.47
Fractional coordinates of all 17 atoms:
Tb  0.000  0.000  0.000
Ge  0.848  0.348  0.196
Ge  0.348  0.500  0.152
Ge  0.804  0.152  0.652
Ge  0.348  0.196  0.848
Ge  0.196  0.848  0.348
Ge  0.652  0.500  0.848
Ge  0.500  0.152  0.348
Ge  0.500  0.848  0.652
Ge  0.652  0.804  0.152
Ge  0.848  0.652  0.500
Ge  0.152  0.348  0.500
Ge  0.152  0.652  0.804
Ir  0.000  0.500  0.000
Ir  0.500  0.000  0.000
Ir  0.500  0.500  0.500
Ir  0.000  0.000  0.500



Tb3Ge5Ir6: relaxed, PBE-GGA.

Properties
Volume ... 18.1 Å³ per atom
Space-group type ... No. 59
Total moment ... 0.00 μB per cell
Formation enthalpy at 0 K ... -0.77 eV/atom

abc: 4.114 9.733 12.670
angles: 90.00 90.00 90.00
Fractional coordinates of all 28 atoms:
Tb  0.000  0.251  0.666
Tb  0.500  0.749  0.166
Tb  0.500  0.749  0.834
Tb  0.000  0.253  0.000
Tb  0.500  0.747  0.500
Tb  0.000  0.251  0.334
Ge  0.000  0.521  0.883
Ge  0.000  0.850  0.670
Ge  0.000  0.865  0.000
Ge  0.500  0.479  0.617
Ge  0.500  0.135  0.500
Ge  0.000  0.521  0.117
Ge  0.500  0.479  0.383
Ge  0.000  0.850  0.330
Ge  0.500  0.150  0.830
Ge  0.500  0.150  0.170
Ir  0.000  0.005  0.833
Ir  0.500  0.995  0.667
Ir  0.500  0.400  0.799
Ir  0.500  0.505  0.000
Ir  0.000  0.495  0.500
Ir  0.000  0.600  0.701
Ir  0.000  0.600  0.299
Ir  0.500  0.013  0.000
Ir  0.000  0.005  0.167
Ir  0.500  0.400  0.201
Ir  0.000  0.987  0.500
Ir  0.500  0.995  0.333



| no. | uncorrected energy (eV/atom) |
| --- | --- |
| 1 | -7.48 |
| 2 | -7.58 |
| 3 | -6.67 |
| 4 | -6.80 |
| 5 | -7.30 |
| 6 | -7.16 |
| 7 | -6.57 |
| 8 | -7.23 |
| 9 | -6.08 |
| 10 | -5.91 |
| 11 | -5.82 |
| 12 | -7.21 |